{
  "formula": "Hf2ThGa",
  "functional": "GGA-PBE",
  "state": "relaxed",
  "lattice_angstrom": [[3.5018, 0.0000, 0.0000], [0.0000, 3.5018, 0.0000], [0.0000, 0.0000, 7.4706]],
  "species": ["Hf", "Hf", "Th", "Ga"],
  "frac_coords": [[0.0000, 0.0000, 0.2049], [0.0000, 0.0000, 0.7951], [0.5000, 0.5000, 0.5000], [0.5000, 0.5000, 0.0000]],
  "total_magnetization_mub_per_fu": 0.000,
  "e_form_ev_per_atom": -0.11,
  "dos_ef_per_ev_atom": 1.163
}